Record 1
VASP calculation (PBE) on an optimized crystal structure of Cd5Bi3Pt12.

Output
N(E_F)   13.88 states/eV/f.u.
DFT formation energy   33.61 kJ/mol of atoms

Lattice parameters (Å, degrees): 15.841 15.841 15.841 90.00 90.00 90.00
Space group Ia-3d (No. 230)
Inequivalent atoms, fractional coordinates:
Cd 0.000 0.000 0.000 x16
Cd 0.000 0.250 0.375 x24
Bi 0.000 0.250 0.125 x24
Pt 0.001 0.073 0.652 x96


Record 2
VASP calculation (PBE) on an optimized crystal structure of CdBi3Pt.

Output
N(E_F)   5.72 states/eV/f.u.
DFT formation energy   32.81 kJ/mol of atoms
Energy above the most stable polymorph in this dataset   0.443 eV/atom

Lattice parameters (Å, degrees): 5.479 5.479 5.479 90.00 90.00 90.00
Space group Pm-3m (No. 221)
Inequivalent atoms, fractional coordinates:
Cd 0.000 0.000 0.000 x1
Bi 0.000 0.500 0.500 x3
Pt 0.500 0.500 0.500 x1


Record 3
VASP calculation (PBE) on an optimized crystal structure of CdBi2Pt2.

Output
N(E_F)   2.71 states/eV/f.u.
DFT formation energy   -14.91 kJ/mol of atoms
Energy above the most stable polymorph in this dataset   0.000 eV/atom

Lattice parameters (Å, degrees): 7.455 7.455 4.076 90.00 90.00 90.00
Space group P4/mbm (No. 127)
Inequivalent atoms, fractional coordinates:
Cd 0.000 0.000 0.000 x2
Bi 0.163 0.337 0.500 x4
Pt 0.138 0.638 0.000 x4


Record 4
VASP calculation (PBE) on an optimized crystal structure of CdBi2Pt.

Output
N(E_F)   1.72 states/eV/f.u.
DFT formation energy   -14.33 kJ/mol of atoms

Lattice parameters (Å, degrees): 4.049 8.597 5.958 90.00 90.10 90.00
Space group P2_1/m (No. 11)
Inequivalent atoms, fractional coordinates:
Cd 0.249 0.250 0.193 x2
Bi 0.251 0.053 0.733 x4
Pt 0.250 0.750 0.472 x2


Record 5
VASP calculation (PBE) on an optimized crystal structure of Cd2BiPt.

Output
N(E_F)   1.92 states/eV/f.u.
DFT formation energy   4.09 kJ/mol of atoms

Lattice parameters (Å, degrees): 8.239 8.239 5.732 90.00 90.00 90.00
Space group I-42d (No. 122)
Inequivalent atoms, fractional coordinates:
Cd 0.206 0.250 0.125 x8
Bi 0.000 0.000 0.500 x4
Pt 0.000 0.000 0.000 x4


Record 6
VASP calculation (PBE) on an optimized crystal structure of Cd2BiPt2.

Output
N(E_F)   2.11 states/eV/f.u.
DFT formation energy   -20.50 kJ/mol of atoms
Energy above the most stable polymorph in this dataset   0.000 eV/atom

Lattice parameters (Å, degrees): 8.127 8.127 3.090 90.00 90.00 90.00
Space group P4/mbm (No. 127)
Inequivalent atoms, fractional coordinates:
Cd 0.133 0.367 0.000 x4
Bi 0.000 0.000 0.500 x2
Pt 0.164 0.664 0.500 x4


Record 7
VASP calculation (PBE) on an optimized crystal structure of Cd2BiPt2.

Output
N(E_F)   2.76 states/eV/f.u.
DFT formation energy   6.84 kJ/mol of atoms
Energy above the most stable polymorph in this dataset   0.283 eV/atom

Lattice parameters (Å, degrees): 4.033 4.033 13.489 90.00 90.00 90.00
Space group I4/mmm (No. 139)
Inequivalent atoms, fractional coordinates:
Cd 0.000 0.000 0.110 x4
Bi 0.000 0.000 0.500 x2
Pt 0.000 0.500 0.250 x4


Record 8
VASP calculation (PBE) on an optimized crystal structure of Cd2BiPt.

Output
N(E_F)   1.89 states/eV/f.u.
DFT formation energy   -7.45 kJ/mol of atoms

Lattice parameters (Å, degrees): 3.224 3.224 8.795 90.00 90.00 90.00
Space group P4/mmm (No. 123)
Inequivalent atoms, fractional coordinates:
Cd 0.000 0.000 0.196 x2
Bi 0.500 0.500 0.500 x1
Pt 0.500 0.500 0.000 x1


Total moment, respectively: 0.00 0.00 0.00 0.00 0.00 0.00 0.00 0.00 μB/f.u..